VASP calculation (GGA-PBE) on crystalline SmZn3Pt2 at its relaxed geometry.

The magnetization comes out at 0.00 μB per formula unit. Its calculated total energy is -4.10 eV per atom. Its symmetry is C2/m (12).

a = 4.1751 Å, b = 7.3684 Å, c = 8.3751 Å
α = 116.57°, β = 90.00°, γ = 106.46°
Last column: nearest neighbours and their distance in Å.
Element x y z (fractional)
Sm 0.8627 0.7254 0.9712  7 Pt 3.03-3.23, 4 Zn 3.21-3.33
Sm 0.1373 0.2746 0.0288  7 Pt 3.03-3.23, 4 Zn 3.21-3.33
Zn 0.3003 0.6006 0.4870  4 Pt 2.57-2.75, 5 Zn 2.59-2.81
Zn 0.9508 0.9017 0.6151  3 Pt 2.66-2.67, 5 Zn 2.79-2.85
Zn 0.5989 0.1977 0.7134  3 Pt 2.56-2.62, 3 Zn 2.66-2.79
Zn 0.4011 0.8023 0.2866  3 Pt 2.56-2.62, 3 Zn 2.66-2.79
Zn 0.0492 0.0983 0.3849  3 Pt 2.66-2.67, 5 Zn 2.79-2.85
Zn 0.6997 0.3994 0.5130  4 Pt 2.57-2.75, 5 Zn 2.59-2.81
Pt 0.4529 0.9058 0.8128  4 Zn 2.56-2.66, 1 Pt 2.78
Pt 0.5471 0.0942 0.1872  4 Zn 2.56-2.66, 1 Pt 2.78
Pt 0.7877 0.5754 0.2815  6 Zn 2.62-2.75
Pt 0.2123 0.4246 0.7185  6 Zn 2.62-2.75

---

VASP calculation (GGA-PBE) on crystalline SmZnPt at its relaxed geometry.

The magnetization comes out at 0.00 μB per formula unit. Its calculated total energy is -4.71 eV per atom. Its symmetry is I4mm (107).

a = 3.5742 Å, b = 3.5742 Å, c = 5.4138 Å
α = 109.27°, β = 109.27°, γ = 90.00°
Last column: nearest neighbours and their distance in Å.
Element x y z (fractional)
Zn 0.6393 0.6393 0.2786  4 Pt 2.81, 1 Sm 2.91
Sm 0.9435 0.9435 0.8871  5 Zn 2.91-3.15, 5 Pt 3.04-3.10
Pt 0.2672 0.2672 0.5343  4 Zn 2.81, 5 Sm 3.04-3.10

---

VASP calculation (GGA-PBE) on crystalline SmZn3Pt3 at its relaxed geometry.

The magnetization comes out at 0.00 μB per formula unit. Its calculated total energy is -3.92 eV per atom. Its symmetry is Pm-3n (223).

a = 6.8091 Å, b = 6.8091 Å, c = 6.8091 Å
α = 90.00°, β = 90.00°, γ = 90.00°
Last column: nearest neighbours and their distance in Å.
Element x y z (fractional)
Zn 0.0000 0.2500 0.5000  4 Pt 2.41
Zn 0.0000 0.7500 0.5000  4 Pt 2.41
Zn 0.5000 0.0000 0.7500  4 Pt 2.41
Zn 0.7500 0.5000 0.0000  4 Pt 2.41
Zn 0.5000 0.0000 0.2500  4 Pt 2.41
Zn 0.2500 0.5000 0.0000  4 Pt 2.41
Sm 0.5000 0.5000 0.5000  12 Pt 3.81, 12 Zn 3.81
Sm 0.0000 0.0000 0.0000  12 Pt 3.81, 12 Zn 3.81
Pt 0.2500 0.0000 0.5000  4 Zn 2.41
Pt 0.0000 0.5000 0.2500  4 Zn 2.41
Pt 0.5000 0.7500 0.0000  4 Zn 2.41
Pt 0.7500 0.0000 0.5000  4 Zn 2.41
Pt 0.0000 0.5000 0.7500  4 Zn 2.41
Pt 0.5000 0.2500 0.0000  4 Zn 2.41

---

VASP calculation (GGA-PBE) on crystalline SmZnPt3 at its relaxed geometry.

The magnetization comes out at 0.00 μB per formula unit. Its calculated total energy is -5.44 eV per atom. As for the relative energy among the computed polymorphs: 122.5 meV/atom. Its symmetry is P6_3/mmc (194).

a = 5.8499 Å, b = 5.8499 Å, c = 13.8742 Å
α = 90.00°, β = 90.00°, γ = 120.00°
Last column: nearest neighbours and their distance in Å.
Element x y z (fractional)
Sm 0.3333 0.6667 0.2500  6 Pt 2.93
Sm 0.6667 0.3333 0.7500  6 Pt 2.93
Sm 0.0000 0.0000 0.5000  6 Pt 2.92
Sm 0.0000 0.0000 0.0000  6 Pt 2.92
Zn 0.6667 0.3333 0.1320  6 Pt 2.47-2.49
Zn 0.3333 0.6667 0.6320  6 Pt 2.47-2.49
Zn 0.3333 0.6667 0.8680  6 Pt 2.47-2.49
Zn 0.6667 0.3333 0.3680  6 Pt 2.47-2.49
Pt 0.1502 0.3005 0.7500  2 Zn 2.47, 2 Pt 2.64
Pt 0.3005 0.1502 0.2500  2 Zn 2.47, 2 Pt 2.64
Pt 0.8498 0.1502 0.2500  2 Zn 2.47, 2 Pt 2.64
Pt 0.1502 0.8498 0.7500  2 Zn 2.47, 2 Pt 2.64
Pt 0.6995 0.8498 0.7500  2 Zn 2.47, 2 Pt 2.64
Pt 0.8498 0.6995 0.2500  2 Zn 2.47, 2 Pt 2.64
Pt 0.5000 0.5000 0.5000  2 Zn 2.49
Pt 0.5000 0.0000 0.0000  2 Zn 2.49
Pt 0.5000 0.5000 0.0000  2 Zn 2.49
Pt 0.5000 0.0000 0.5000  2 Zn 2.49
Pt 0.0000 0.5000 0.5000  2 Zn 2.49
Pt 0.0000 0.5000 0.0000  2 Zn 2.49

---

no.,energy of formation (eV/f.u.)
1,-3.9
2,-2.1
3,-0.8
4,-3.1